[1]
VASP calculation (PBE) on a relaxed structure of ErTm2Zn.

Cell: 3.5461 3.5461 30.2318 Å, 90.00 90.00 120.00°
Last column: nearest neighbours and their distance in Å.
Space group R3m (No. 160, hexagonal axes)
Asymmetric unit:
Er (0.0000, 0.0000, 0.0000) [3 per cell]  6 Tm 3.50-3.51, 6 Er 3.55
Tm (0.0000, 0.0000, 0.2395) [3 per cell]  3 Zn 2.99
Tm (0.0000, 0.0000, 0.4276) [3 per cell]  3 Zn 3.01
Zn (0.0000, 0.0000, 0.8340) [3 per cell]  6 Tm 2.99-3.01

Values from the calculation:
E above lowest polymorph   97 meV/atom
Theoretical density   8.633 g/cm3
Uncorrected energy   -3.762 eV/atom
E_form   -0.067 eV/atom
Crystal system   trigonal
Fermi-level density of states   4.804 states/eV/f.u.



[2]
VASP calculation (PBE) on a relaxed structure of Co2BIr.

Cell: 3.2535 3.2535 17.3654 Å, 90.00 90.00 90.00°
Last column: nearest neighbours and their distance in Å.
Space group I-42d (No. 122)
Asymmetric unit:
Co (0.2243, 0.2500, 0.1250) [8 per cell]  4 Co 2.19-2.42, 2 B 2.43
B (0.0000, 0.0000, 0.0000) [4 per cell]  4 Ir 2.30, 4 Co 2.43
Ir (0.0000, 0.0000, 0.5000) [4 per cell]  4 B 2.30, 4 Co 2.49

Values from the calculation:
Theoretical density   11.595 g/cm3
Uncorrected energy   -6.935 eV/atom
E_form   0.503 eV/atom
Crystal system   tetragonal
Fermi-level density of states   4.993 states/eV/f.u.